## BPAu (PBE)

Data for a geometry-optimized BPAu structure.

Summary:
**D(E_F)**: 4.0 states/eV/cell
**E above lowest polymorph**: 30 meV/atom
**V**: 187.3 Å³/cell
**Size of the total moment**: 0.00 μB per cell
**Formation energy from the elements**: -38 meV per atom
**Space group**: Cmc2_1, No. 36

```
12
Lattice="-1.161 1.514 2.591 -6.636 -8.045 1.727 3.798 -2.459 3.139" Properties=species:S:1:pos:R:3 pbc="T T T"
P -3.112 -7.598 3.045
P -1.309 -1.881 0.512
P -0.374 -2.819 3.477
P -5.208 -5.146 2.671
B -4.454 -6.746 1.946
B 1.165 -3.466 2.547
B -1.717 -1.967 2.378
B -2.733 -6.731 4.706
Au 2.262 -1.584 1.939
Au -6.145 -8.243 2.063
Au -1.637 -4.850 4.098
Au -3.407 -3.464 2.495
```

***

## SrSbAs (PBE)

Data for a geometry-optimized SrSbAs structure.

Summary:
**Formation energy without anion corrections**: -0.585 eV per atom
**D(E_F)**: 0.9 states/eV/cell
**E above lowest polymorph**: 153 meV/atom
**V**: 91.7 Å³/cell
**Size of the total moment**: 0.00 μB per cell
**Space group**: P3m1, No. 156

```
3
Lattice="4.820 0.000 0.000 -2.410 4.174 0.000 0.000 0.000 4.559" Properties=species:S:1:pos:R:3 pbc="T T T"
Sb 2.410 1.391 0.522
As 0.000 0.000 1.051
Sr 0.000 2.783 2.987
```